No. 1
# Ca2SbS4, relaxed, DFT GGA-PBE
data_Ca2SbS4
_chemical_formula_sum 'Ca2 Sb1 S4'
_space_group_name_H-M_alt 'P 1'
_space_group_IT_number 1
_space_group_name_Hall 'P 1'
_cell_length_a 3.9339
_cell_length_b 7.4121
_cell_length_c 7.5705
_cell_angle_alpha 124.66
_cell_angle_beta 105.06
_cell_angle_gamma 90.00
loop_
_atom_site_label
_atom_site_fract_x
_atom_site_fract_y
_atom_site_fract_z
S1 0.3554 0.7194 0.7108
S2 0.8926 0.1788 0.7853
S3 0.1074 0.8212 0.2147
Ca1 0.7001 0.7226 0.4001
Sb1 0.0000 0.0000 0.0000
Ca2 0.2999 0.2774 0.5999
S4 0.6446 0.2806 0.2892
# Final energy: -4.650 eV per atom
# D(E_F): 0.484 states/eV/atom
# Magnetic moment: 0.00 μB per formula unit
# Distance to the lowest polymorph of the same formula: 0.000 eV/atom

No. 2
# CaSbS3, relaxed, DFT GGA-PBE
data_CaSbS3
_chemical_formula_sum 'Ca1 Sb1 S3'
_space_group_name_H-M_alt 'P 1'
_space_group_IT_number 1
_space_group_name_Hall 'P 1'
_cell_length_a 5.1295
_cell_length_b 5.1295
_cell_length_c 5.1295
_cell_angle_alpha 90.00
_cell_angle_beta 90.00
_cell_angle_gamma 90.00
loop_
_atom_site_label
_atom_site_fract_x
_atom_site_fract_y
_atom_site_fract_z
S1 0.0000 0.0000 0.5000
S2 0.0000 0.5000 0.0000
Sb1 0.5000 0.5000 0.5000
Ca1 0.0000 0.0000 0.0000
S3 0.5000 0.0000 0.0000
# Final energy: -3.531 eV per atom
# D(E_F): 1.170 states/eV/atom
# Magnetic moment: 0.00 μB per formula unit
# Distance to the lowest polymorph of the same formula: 1.061 eV/atom

No. 3
# Ca2SbS4, relaxed, DFT GGA-PBE
data_Ca2SbS4
_chemical_formula_sum 'Ca4 Sb2 S8'
_space_group_name_H-M_alt 'P 1'
_space_group_IT_number 1
_space_group_name_Hall 'P 1'
_cell_length_a 7.3615
_cell_length_b 7.3615
_cell_length_c 7.3615
_cell_angle_alpha 110.59
_cell_angle_beta 107.25
_cell_angle_gamma 110.59
loop_
_atom_site_label
_atom_site_fract_x
_atom_site_fract_y
_atom_site_fract_z
S1 0.6358 0.7502 0.5061
S2 0.4939 0.1297 0.2441
S3 0.1144 0.8703 0.3642
S4 0.6356 0.7498 0.0059
Ca1 0.8750 0.1199 0.4949
S5 0.9941 0.6297 0.7439
S6 0.2561 0.2502 0.8858
Ca2 0.3750 0.8801 0.7551
Sb1 0.7500 0.5000 0.2500
Sb2 0.0000 0.0000 0.0000
S7 0.7559 0.2498 0.8856
Ca3 0.5051 0.3801 0.6250
Ca4 0.2449 0.6199 0.1250
S8 0.1142 0.3703 0.3644
# Final energy: -4.619 eV per atom
# D(E_F): 0.437 states/eV/atom
# Magnetic moment: 0.00 μB per formula unit
# Distance to the lowest polymorph of the same formula: 0.032 eV/atom

No. 4
# CaSbS3, relaxed, DFT GGA-PBE
data_CaSbS3
_chemical_formula_sum 'Ca4 Sb4 S12'
_space_group_name_H-M_alt 'P 1'
_space_group_IT_number 1
_space_group_name_Hall 'P 1'
_cell_length_a 4.0247
_cell_length_b 7.7005
_cell_length_c 14.4143
_cell_angle_alpha 90.00
_cell_angle_beta 90.00
_cell_angle_gamma 90.00
loop_
_atom_site_label
_atom_site_fract_x
_atom_site_fract_y
_atom_site_fract_z
S1 0.2500 0.6309 0.0063
S2 0.2500 0.5414 0.3848
Sb1 0.7500 0.8288 0.0656
Ca1 0.2500 0.4158 0.1838
Ca2 0.2500 0.9158 0.3162
S3 0.7500 0.1901 0.2768
S4 0.7500 0.3691 0.9937
Ca3 0.7500 0.0842 0.6838
S5 0.7500 0.9586 0.8848
Ca4 0.7500 0.5842 0.8162
Sb2 0.2500 0.6712 0.5656
S6 0.7500 0.4586 0.6152
S7 0.2500 0.1309 0.4937
Sb3 0.2500 0.1712 0.9344
S8 0.2500 0.8099 0.7232
S9 0.7500 0.8691 0.5063
Sb4 0.7500 0.3288 0.4344
S10 0.2500 0.3099 0.7768
S11 0.7500 0.6901 0.2232
S12 0.2500 0.0414 0.1152
# Final energy: -4.592 eV per atom
# D(E_F): 0.230 states/eV/atom
# Magnetic moment: 0.00 μB per formula unit
# Distance to the lowest polymorph of the same formula: 0.000 eV/atom

No. 5
# Ca12Sb3S5, relaxed, DFT GGA-PBE
data_Ca12Sb3S5
_chemical_formula_sum 'Ca48 Sb12 S20'
_space_group_name_H-M_alt 'P 1'
_space_group_IT_number 1
_space_group_name_Hall 'P 1'
_cell_length_a 14.9026
_cell_length_b 14.9026
_cell_length_c 14.9026
_cell_angle_alpha 109.47
_cell_angle_beta 109.47
_cell_angle_gamma 109.47
loop_
_atom_site_label
_atom_site_fract_x
_atom_site_fract_y
_atom_site_fract_z
Ca1 0.5377 0.3247 0.9101
S1 0.8750 0.6250 0.7500
Sb1 0.8750 0.7500 0.1250
S2 0.1250 0.3750 0.2500
Ca2 0.9101 0.8247 0.5377
S3 0.0000 0.0000 0.5000
Sb2 0.3750 0.6250 0.2500
S4 0.6250 0.8750 0.2500
S5 0.0000 0.5000 0.5000
Ca3 0.0377 0.4101 0.8247
Ca4 0.1276 0.7131 0.5377
Ca5 0.7131 0.1276 0.0377
Ca6 0.9146 0.8247 0.7869
Ca7 0.1753 0.0854 0.7131
S6 0.5000 0.0000 0.5000
S7 0.5000 0.5000 0.5000
Ca8 0.9623 0.5899 0.1753
Ca9 0.0854 0.9101 0.3724
Ca10 0.7869 0.4623 0.3724
Ca11 0.0899 0.1753 0.4623
S8 0.3750 0.2500 0.1250
Ca12 0.1276 0.4146 0.0899
Ca13 0.2869 0.8724 0.9623
Sb3 0.3750 0.7500 0.6250
S9 0.2500 0.3750 0.6250
Ca14 0.8724 0.5854 0.9101
S10 0.2500 0.8750 0.1250
Ca15 0.4623 0.7869 0.8724
Sb4 0.1250 0.8750 0.7500
Ca16 0.6753 0.4623 0.5899
Ca17 0.9623 0.3724 0.2869
Ca18 0.5899 0.6276 0.4146
Sb5 0.7500 0.8750 0.6250
Ca19 0.6753 0.2131 0.5854
Ca20 0.1753 0.0899 0.9623
Sb6 0.6250 0.3750 0.7500
Ca21 0.3724 0.9623 0.7869
Ca22 0.8247 0.9101 0.0377
Ca23 0.2131 0.5377 0.6276
Sb7 0.6250 0.2500 0.3750
Ca24 0.7131 0.5854 0.1753
Ca25 0.2131 0.6753 0.0854
Ca26 0.2869 0.4146 0.8247
Ca27 0.9101 0.0854 0.8724
Ca28 0.0854 0.1753 0.2131
Ca29 0.7869 0.3247 0.9146
Ca30 0.5854 0.8724 0.4101
S11 0.0000 0.0000 0.0000
Sb8 0.2500 0.1250 0.3750
Ca31 0.3247 0.7869 0.4146
S12 0.1250 0.7500 0.3750
S13 0.5000 0.0000 0.0000
Ca32 0.5899 0.9623 0.6753
Ca33 0.6276 0.0377 0.2131
Ca34 0.4101 0.3724 0.5854
S14 0.7500 0.1250 0.8750
Ca35 0.3247 0.5377 0.4101
S15 0.7500 0.6250 0.3750
Ca36 0.5854 0.7131 0.6753
Ca37 0.8247 0.9146 0.2869
Ca38 0.9146 0.0899 0.6276
Ca39 0.4101 0.0377 0.3247
Ca40 0.0899 0.9146 0.1276
Sb9 0.1250 0.2500 0.8750
Sb10 0.7500 0.3750 0.1250
Ca41 0.3724 0.4101 0.0854
Sb11 0.8750 0.1250 0.2500
S16 0.0000 0.5000 0.0000
Ca42 0.5377 0.2131 0.1276
Ca43 0.6276 0.5899 0.9146
Ca44 0.0377 0.6276 0.7131
S17 0.3750 0.1250 0.7500
S18 0.6250 0.7500 0.8750
Ca45 0.4623 0.6753 0.0899
S19 0.5000 0.5000 0.0000
S20 0.8750 0.2500 0.6250
Ca46 0.8724 0.2869 0.4623
Ca47 0.4146 0.2869 0.3247
Sb12 0.2500 0.6250 0.8750
Ca48 0.4146 0.1276 0.5899
# Final energy: -4.076 eV per atom
# D(E_F): 0.775 states/eV/atom
# Magnetic moment: 0.00 μB per formula unit

No. 6
# CaSb2S4, relaxed, DFT GGA-PBE
data_CaSb2S4
_chemical_formula_sum 'Ca2 Sb4 S8'
_space_group_name_H-M_alt 'P 1'
_space_group_IT_number 1
_space_group_name_Hall 'P 1'
_cell_length_a 8.0510
_cell_length_b 7.6361
_cell_length_c 7.8839
_cell_angle_alpha 112.14
_cell_angle_beta 112.12
_cell_angle_gamma 105.18
loop_
_atom_site_label
_atom_site_fract_x
_atom_site_fract_y
_atom_site_fract_z
Ca1 0.1596 0.6653 0.5118
S1 0.4110 0.1324 0.3321
S2 0.9219 0.7608 0.2224
S3 0.8489 0.2173 0.2530
Sb1 0.6618 0.4189 0.7640
S4 0.2451 0.4715 0.1686
S5 0.5353 0.6863 0.7692
Sb2 0.1337 0.3501 0.7843
Sb3 0.5606 0.3676 0.2310
S6 0.8111 0.0550 0.6480
Sb4 0.6621 0.8817 0.2249
S7 0.3439 0.1186 0.8295
S8 0.9575 0.6151 0.7466
Ca2 0.9974 0.0094 0.0145
# Final energy: -4.553 eV per atom
# Magnetic moment: 0.00 μB per formula unit

No. 7
# Ca2Sb2S5, relaxed, DFT GGA-PBE
data_Ca2Sb2S5
_chemical_formula_sum 'Ca8 Sb8 S20'
_space_group_name_H-M_alt 'P 1'
_space_group_IT_number 1
_space_group_name_Hall 'P 1'
_cell_length_a 5.7326
_cell_length_b 11.4471
_cell_length_c 15.2091
_cell_angle_alpha 69.09
_cell_angle_beta 90.00
_cell_angle_gamma 90.00
loop_
_atom_site_label
_atom_site_fract_x
_atom_site_fract_y
_atom_site_fract_z
S1 0.2982 0.9359 0.1211
Ca1 0.7313 0.3072 0.8932
S2 0.7339 0.2216 0.0961
S3 0.2287 0.0953 0.3051
Ca2 0.7630 0.6683 0.6658
S4 0.5069 0.6528 0.5005
Sb1 0.6543 0.5555 0.3838
S5 0.2617 0.6599 0.7008
S6 0.2713 0.5953 0.3051
S7 0.7713 0.9047 0.6949
S8 0.9931 0.1528 0.5005
S9 0.7617 0.8401 0.2992
Sb2 0.1543 0.9445 0.6162
Ca3 0.2630 0.8317 0.3342
S10 0.7018 0.0641 0.8789
S11 0.7982 0.5641 0.8789
Sb3 0.3457 0.4445 0.6162
Ca4 0.7687 0.8072 0.8932
S12 0.7287 0.4047 0.6949
S13 0.0069 0.8472 0.4995
S14 0.2661 0.7784 0.9039
Sb4 0.8457 0.0555 0.3838
S15 0.2339 0.2784 0.9039
Ca5 0.2370 0.3317 0.3342
S16 0.2018 0.4359 0.1211
S17 0.2383 0.1599 0.7008
Sb5 0.7642 0.4238 0.1253
Ca6 0.2313 0.1928 0.1068
Sb6 0.2358 0.5762 0.8747
Ca7 0.7370 0.1683 0.6658
S18 0.4931 0.3472 0.4995
Sb7 0.2642 0.0762 0.8747
Sb8 0.7358 0.9238 0.1253
S19 0.7661 0.7216 0.0961
Ca8 0.2687 0.6928 0.1068
S20 0.7383 0.3401 0.2992
# Final energy: -4.754 eV per atom
# D(E_F): 0.000 states/eV/atom
# Magnetic moment: 0.00 μB per formula unit

No. 8
# Ca2Sc2Sb2S, relaxed, DFT GGA-PBE
data_Ca2Sc2Sb2S
_chemical_formula_sum 'Ca2 Sc2 Sb2 S1'
_space_group_name_H-M_alt 'P 1'
_space_group_IT_number 1
_space_group_name_Hall 'P 1'
_cell_length_a 4.8304
_cell_length_b 4.8304
_cell_length_c 8.7324
_cell_angle_alpha 106.06
_cell_angle_beta 106.06
_cell_angle_gamma 90.00
loop_
_atom_site_label
_atom_site_fract_x
_atom_site_fract_y
_atom_site_fract_z
S1 0.0000 0.0000 0.0000
Ca1 0.1726 0.1726 0.3452
Ca2 0.8274 0.8274 0.6548
Sb1 0.6292 0.6292 0.2584
Sc1 0.5000 0.0000 0.0000
Sb2 0.3708 0.3708 0.7416
Sc2 0.0000 0.5000 0.0000
# Final energy: -5.306 eV per atom
# D(E_F): 0.919 states/eV/atom
# Magnetic moment: 0.00 μB per formula unit

No. 9
# SrCa3Sb2S, relaxed, DFT GGA-PBE
data_SrCa3Sb2S
_chemical_formula_sum 'Sr1 Ca3 Sb2 S1'
_space_group_name_H-M_alt 'P 1'
_space_group_IT_number 1
_space_group_name_Hall 'P 1'
_cell_length_a 5.4118
_cell_length_b 5.2278
_cell_length_c 9.0659
_cell_angle_alpha 106.76
_cell_angle_beta 107.37
_cell_angle_gamma 90.00
loop_
_atom_site_label
_atom_site_fract_x
_atom_site_fract_y
_atom_site_fract_z
Sb1 0.3636 0.3636 0.7272
S1 0.0000 0.0000 0.0000
Sr1 0.5000 0.0000 0.0000
Ca1 0.1766 0.1766 0.3531
Ca2 0.8234 0.8234 0.6469
Ca3 0.0000 0.5000 0.0000
Sb2 0.6364 0.6364 0.2728
# Final energy: -4.063 eV per atom
# Magnetic moment: 0.00 μB per formula unit